1.
Entry from Alexandria: an optimized crystal structure of Sn4Se3O (PBE).

M_tot: 0.00 μB per formula unit
ΔE_f (raw): -0.5674 eV/atom
VASP energy: -4.495 eV/atom
density: 5151 kg/m³

```
Sn4Se3O
1.0
10.1777 0.0000 0.0000
0.0000 7.4516 0.0000
0.0000 0.0000 6.1869
Sn Se O
8 6 2
Cartesian
0.0000 0.7569 0.0000 Sn
0.0000 5.5915 2.8441 Sn
1.8687 5.2281 5.9260 Sn
3.2202 2.2234 2.8326 Sn
5.0889 1.8600 5.9376 Sn
5.0889 6.6947 3.0934 Sn
6.9575 2.2234 2.8326 Sn
8.3091 5.2281 5.9260 Sn
0.0000 0.7679 3.4633 Se
2.1578 2.4997 0.2642 Se
2.9311 4.9519 3.3577 Se
5.0889 6.6836 0.3698 Se
7.2466 4.9519 3.3577 Se
8.0200 2.4997 0.2642 Se
0.0000 4.9011 4.8690 O
5.0889 2.5505 1.7756 O
```

2.
Entry from Alexandria: an optimized crystal structure of ZrCu2Ag (PBE).

formation energy from the elements: 137 meV per atom
M_tot: 0.00 μB per formula unit
VASP energy: -4.761 eV/atom
density: 8123 kg/m³

```
ZrCu2Ag
1.0
1.4741 0.8511 8.8579
-1.4741 0.8511 8.8579
0.0000 -1.7022 8.8579
Zr Cu Ag
1 2 1
Cartesian
0.0000 0.0000 0.0000 Zr
0.0000 0.0000 6.5690 Cu
0.0000 0.0000 20.0047 Cu
0.0000 0.0000 13.2869 Ag
```

3.
Entry from Alexandria: an optimized crystal structure of SmAl6S8 (PBE).

M_tot: 0.01 μB per formula unit
ΔE_f (raw): -0.8509 eV/atom
VASP energy: -4.864 eV/atom
density: 3176 kg/m³

```
SmAl6S8
1.0
4.8793 2.8170 3.6063
-4.8793 2.8170 3.6063
0.0000 -5.6341 3.6063
Sm Al S
1 6 8
Cartesian
0.0000 0.0000 0.0000 Sm
-1.7713 0.5169 4.3359 Al
0.4380 -1.7925 4.3359 Al
-1.3333 -1.2755 6.4829 Al
1.3333 1.2755 4.3359 Al
-0.4380 1.7925 6.4829 Al
1.7713 -0.5169 6.4829 Al
-1.4280 -3.1272 4.5224 S
-3.4222 -0.3269 6.2963 S
0.0000 0.0000 2.8727 S
-1.9942 2.8003 4.5224 S
1.9942 -2.8003 6.2963 S
0.0000 0.0000 7.9461 S
3.4222 0.3269 4.5224 S
1.4280 3.1272 6.2963 S
```

4.
Entry from Alexandria: an optimized crystal structure of Mg6MnFe (PBE).

formation energy from the elements: 207 meV per atom
M_tot: 6.11 μB per formula unit
VASP energy: -3.193 eV/atom
density: 2765 kg/m³

```
Mg6MnFe
1.0
4.7700 0.0000 0.0000
0.0000 3.0057 5.3754
0.0000 -3.0057 5.3754
Mg Mn Fe
6 1 1
Cartesian
0.0000 0.0000 0.0000 Mg
0.0000 -1.4284 2.7427 Mg
0.0000 1.4284 2.7427 Mg
2.3850 -1.4429 6.2553 Mg
2.3850 1.4429 6.2553 Mg
2.3850 0.0000 8.9955 Mg
0.0000 0.0000 5.2306 Mn
2.3850 0.0000 3.7935 Fe
```

What is the formula in the second record? ZrCu2Ag